This record from Alexandria via LeMat-Bulk describes a relaxed structure of NiPtCO5. The functional is PBE+U.

Output
electronic total energy = -6.034 eV per atom

a b c (Å): 5.0795 5.0795 7.1094
angles (deg): 106.48 106.48 100.92
With the nearest neighbours (Å) after each atom.
Element x y z (fractional)
O1 0.2795 0.4073 0.5941  1 C 1.47
O2 0.8861 0.1139 0.7500  1 Ni 1.86, 2 Pt 1.99
O3 0.1139 0.8861 0.2500  1 Ni 1.86, 2 Pt 1.99
O4 0.3397 0.8952 0.6640  1 C 1.37
O5 0.7205 0.5927 0.4059  1 C 1.47
O6 0.1048 0.6603 0.8360  1 C 1.37
O7 0.4073 0.2795 0.0941  1 C 1.47
O8 0.5927 0.7205 0.9059  1 C 1.47
O9 0.6603 0.1048 0.3360  1 C 1.37
O10 0.8952 0.3397 0.1640  1 C 1.37
Ni1 0.6484 0.3516 0.7500  3 O 1.86-2.01
Ni2 0.3516 0.6484 0.2500  3 O 1.86-2.01
Pt1 0.0000 0.0000 0.5000  6 O 1.99-2.08
Pt2 0.0000 0.0000 0.0000  6 O 1.99-2.08
C1 0.3145 0.6855 0.7500  4 O 1.37-1.47
C2 0.6855 0.3145 0.2500  4 O 1.37-1.47